# Zr2RuCl

An optimized crystal structure of Zr2RuCl (PBE-GGA, Alexandria via LeMat-Bulk).

Calculated values
Density of states at the Fermi level: 5.48 states/eV/cell
Raw formation energy: 0.07 eV/atom
Magnetization: 0.000 μB per atom
E above lowest polymorph: 3.08 eV/f.u.
Total energy: -6.98 eV per atom
SG: I-42d (122)

Cell lengths 5.539, 5.539, 7.654 Å; angles 68.79, 68.79, 90.00 degrees
Fractional positions:
Ru 0.000 0.000 0.000
Ru 0.750 0.250 0.500
Zr 0.637 0.125 0.250
Zr 0.113 0.625 0.250
Zr 0.375 0.363 0.750
Zr 0.875 0.887 0.750
Cl 0.500 0.500 0.000
Cl 0.250 0.750 0.500